Density functional theory data (GGA-PBE) for crystalline CdRhBr2 at its relaxed geometry.

a b c (Å): 10.957 10.957 10.957
angles (deg): 16.67 16.67 16.67
Fractional positions:
Cd1 0.000 0.000 0.000
Rh1 0.500 0.500 0.500
Br1 0.427 0.427 0.427
Br2 0.573 0.573 0.573

The total energy comes out at -2.66 eV per atom. The uncorrected formation energy is 248 meV per atom. As for the density of states at the Fermi level: 4.8 states/eV per cell. As for the excess energy over the best structure of this formula in the dataset: 185 kJ/mol of formula units.